{"formula": "Ba2AcMoO8", "functional": "GGA+U", "state": "optimized geometry", "cell": [[5.939, 0.000, 0.000], [-2.969, 5.143, 0.000], [0.000, 0.000, 6.652]], "species": ["Ba", "Ba", "Ac", "Mo", "O", "O", "O", "O", "O", "O", "O", "O"], "fractional_positions": [[0.667, 0.333, 0.127], [0.333, 0.667, 0.873], [0.000, 0.000, 0.500], [0.000, 0.000, 0.000], [0.850, 0.700, 0.823], [0.300, 0.150, 0.823], [0.850, 0.150, 0.823], [0.150, 0.300, 0.177], [0.700, 0.850, 0.177], [0.150, 0.850, 0.177], [0.667, 0.333, 0.501], [0.333, 0.667, 0.499]], "crystal_system": "trigonal", "dft_energy_ev_per_cell": -76.6, "space_group": "No. 164", "n_ef_per_ev_atom": 0.603}